A:
## GaHgSe3 (GGA-PBE)

Data for GaHgSe3 after structural relaxation.

Geometry as POSCAR:
```
GaHgSe3
1.0
5.308 0.000 0.000
0.000 5.308 0.000
0.000 0.000 5.308
Ga Se Hg
1 3 1
direct
0.500 0.500 0.500
0.000 0.500 0.000
0.000 0.000 0.500
0.500 0.000 0.000
0.000 0.000 0.000
```

Computed properties:
* SG: Pm-3m (221)

=====

B:
## GaHgSe3 (GGA-PBE)

Data for GaHgSe3 after structural relaxation.

Geometry as POSCAR:
```
GaHgSe3
1.0
-1.089 -0.331 -4.908
4.522 -2.046 -0.865
-1.937 -4.592 0.739
Se Hg Ga
3 1 1
direct
0.000 0.000 0.500
0.500 0.000 0.000
0.000 0.500 0.000
0.500 0.500 0.500
0.000 0.000 0.000
```

Computed properties:
* SG: Pm-3m (221)

=====

Which structure loses on stability? A does.

=====

A:
## GaSi2Hg2 (GGA-PBE)

Data for GaSi2Hg2 after structural relaxation.

Geometry as POSCAR:
```
GaSi2Hg2
1.0
-0.241 2.820 -3.561
-3.738 1.903 1.760
1.089 5.963 1.743
Hg Si Ga
2 2 1
direct
0.250 0.750 0.500
0.750 0.250 0.500
0.607 0.607 0.787
0.393 0.393 0.213
0.000 0.000 0.000
```

Computed properties:
* SG: I4/mmm (139)

=====

B:
## GaSi2Hg2 (GGA-PBE)

Data for GaSi2Hg2 after structural relaxation.

Geometry as POSCAR:
```
GaSi2Hg2
1.0
3.466 0.000 0.000
0.000 3.466 0.000
1.733 1.733 8.808
Si Hg Ga
2 2 1
direct
0.750 0.250 0.500
0.250 0.750 0.500
0.396 0.396 0.208
0.604 0.604 0.792
0.000 0.000 0.000
```

Computed properties:
* SG: I4/mmm (139)

=====

C:
## GaSi2Hg2 (GGA-PBE)

Data for GaSi2Hg2 after structural relaxation.

Geometry as POSCAR:
```
GaSi2Hg2
1.0
-3.412 3.520 -4.215
-5.413 -2.993 1.882
-0.756 3.690 3.693
Hg Ga Si
4 2 4
direct
0.323 0.823 0.500
0.823 0.677 0.500
0.177 0.323 0.500
0.677 0.177 0.500
0.000 0.000 0.000
0.500 0.500 0.000
0.369 0.869 0.000
0.131 0.369 0.000
0.631 0.131 0.000
0.869 0.631 0.000
```

Computed properties:
* SG: P4/mbm (127)

=====

Which structure loses on stability? A does.

=====

A:
## Sm2Ga3Hg (GGA-PBE)

Data for Sm2Ga3Hg after structural relaxation.

Geometry as POSCAR:
```
Sm2Ga3Hg
1.0
3.919 0.000 -1.043
-0.323 4.275 -1.215
0.119 0.054 8.331
Ga Sm Hg
3 2 1
direct
0.705 0.705 0.410
0.291 0.791 0.583
0.546 0.546 0.093
0.861 0.361 0.721
0.137 0.137 0.273
0.460 0.960 0.919
```

Computed properties:
* SG: Imm2 (44)

=====

B:
## Sm2Ga3Hg (GGA-PBE)

Data for Sm2Ga3Hg after structural relaxation.

Geometry as POSCAR:
```
Sm2Ga3Hg
1.0
5.915 -0.391 0.000
-0.620 5.895 0.000
-2.647 -2.752 7.847
Ga Sm Hg
6 4 2
direct
0.162 0.675 0.837
0.162 0.162 0.324
0.838 0.838 0.676
0.325 0.838 0.163
0.838 0.325 0.163
0.675 0.162 0.837
0.252 0.252 0.000
0.750 0.250 0.500
0.250 0.750 0.500
0.748 0.748 0.000
0.333 0.333 0.666
0.667 0.667 0.334
```

Computed properties:
* SG: Fmmm (69)

=====

Which structure loses on stability? A does.

=====

A:
## Sm2GaHg3 (GGA-PBE)

Data for Sm2GaHg3 after structural relaxation.

Geometry as POSCAR:
```
Sm2GaHg3
1.0
3.984 0.000 -1.061
-0.319 4.212 -1.197
0.325 0.361 9.236
Ga Hg Sm
1 3 2
direct
0.458 0.958 0.916
0.699 0.699 0.399
0.538 0.538 0.076
0.306 0.806 0.613
0.109 0.109 0.217
0.890 0.390 0.779
```

Computed properties:
* SG: Imm2 (44)

=====

B:
## Sm2GaHg3 (GGA-PBE)

Data for Sm2GaHg3 after structural relaxation.

Geometry as POSCAR:
```
Sm2GaHg3
1.0
-0.151 -4.502 -4.028
0.786 -5.090 3.160
-8.631 4.152 1.465
Hg Ga Sm
6 2 4
direct
0.343 0.343 0.171
0.829 0.829 0.658
0.828 0.828 0.171
0.657 0.657 0.829
0.171 0.171 0.342
0.172 0.172 0.829
0.666 0.666 0.333
0.334 0.334 0.667
0.250 0.750 0.500
0.244 0.756 0.000
0.756 0.244 0.000
0.750 0.250 0.500
```

Computed properties:
* SG: Fmmm (69)

=====

Which structure loses on stability? A does.

=====

A:
## Sm3GaHg2 (GGA-PBE)

Data for Sm3GaHg2 after structural relaxation.

Geometry as POSCAR:
```
Sm3GaHg2
1.0
3.744 0.000 0.000
0.000 5.323 0.000
0.000 0.000 15.915
Hg Sm Ga
4 6 2
direct
0.000 0.000 0.330
0.000 0.500 0.830
0.000 0.500 0.170
0.000 0.000 0.670
0.500 0.500 0.000
0.500 0.000 0.500
0.500 0.000 0.159
0.500 0.500 0.341
0.500 0.000 0.841
0.500 0.500 0.659
0.999 0.500 0.500
0.001 0.000 0.000
```

Computed properties:
* SG: Cmmm (65)

=====

B:
## Sm3GaHg2 (GGA-PBE)

Data for Sm3GaHg2 after structural relaxation.

Geometry as POSCAR:
```
Sm3GaHg2
1.0
3.725 0.000 0.000
0.000 3.725 0.000
0.000 0.000 11.390
Hg Sm Ga
2 3 1
direct
0.500 0.500 0.171
0.500 0.500 0.829
0.000 0.000 0.345
0.000 0.000 0.655
0.000 0.000 0.000
0.500 0.500 0.500
```

Computed properties:
* SG: P4/mmm (123)

=====

Which structure loses on stability? A does.

=====

A:
## Sm5Ga2Hg (GGA-PBE)

Data for Sm5Ga2Hg after structural relaxation.

Geometry as POSCAR:
```
Sm5Ga2Hg
1.0
6.976 0.000 -3.293
-1.555 6.801 -3.293
0.139 0.175 9.331
Sm Ga Hg
10 4 2
direct
0.683 0.183 0.709
0.817 0.974 0.291
0.183 0.026 0.709
0.026 0.526 0.709
0.474 0.317 0.291
0.974 0.474 0.291
0.000 0.000 0.000
0.500 0.500 0.000
0.526 0.683 0.709
0.317 0.817 0.291
0.119 0.381 0.000
0.619 0.119 0.000
0.381 0.881 0.000
0.881 0.619 0.000
0.750 0.750 0.500
0.250 0.250 0.500
```

Computed properties:
* SG: I4/mcm (140)

=====

B:
## Sm5Ga2Hg (GGA-PBE)

Data for Sm5Ga2Hg after structural relaxation.

Geometry as POSCAR:
```
Sm5Ga2Hg
1.0
6.975 0.004 -0.001
0.004 6.975 -0.001
-3.490 -3.490 4.385
Hg Ga Sm
1 2 5
direct
0.222 0.222 0.445
0.722 0.222 0.444
0.222 0.722 0.444
0.722 0.222 0.944
0.222 0.222 0.944
0.722 0.722 0.944
0.222 0.722 0.944
0.722 0.722 0.444
```

Computed properties:
* SG: I4/mmm (139)

=====

Which structure loses on stability? B does.

=====

A:
## Sm4GaHg (GGA-PBE)

Data for Sm4GaHg after structural relaxation.

Geometry as POSCAR:
```
Sm4GaHg
1.0
5.248 0.000 0.000
0.000 6.460 0.000
-2.624 0.000 11.368
Sm Hg Ga
8 2 2
direct
0.565 0.355 0.130
0.307 0.573 0.615
0.693 0.073 0.385
0.127 0.790 0.254
0.873 0.290 0.746
0.716 0.552 0.432
0.435 0.855 0.870
0.284 0.052 0.568
0.432 0.351 0.865
0.568 0.851 0.135
0.163 0.313 0.326
0.837 0.813 0.674
```

Computed properties:
* SG: Cmc2_1 (36)

=====

B:
## Sm4GaHg (GGA-PBE)

Data for Sm4GaHg after structural relaxation.

Geometry as POSCAR:
```
Sm4GaHg
1.0
-0.907 -3.089 1.772
6.267 0.881 0.934
-5.545 4.583 5.149
Ga Sm Hg
1 4 1
direct
0.371 0.741 0.408
0.867 0.735 0.698
0.097 0.194 0.435
0.629 0.258 0.793
0.399 0.797 0.066
0.137 0.274 0.100
```

Computed properties:
* SG: Cm (8)

=====

Which structure loses on stability? A does.

=====

A:
## TbSmGaHg (GGA-PBE)

Data for TbSmGaHg after structural relaxation.

Geometry as POSCAR:
```
TbSmGaHg
1.0
-1.071 1.744 -3.016
-1.790 -2.982 -1.089
-6.223 2.418 3.607
Hg Sm Ga Tb
1 1 1 1
direct
0.500 0.500 0.116
0.000 0.000 0.841
0.500 0.500 0.600
0.000 0.000 0.370
```

Computed properties:
* SG: P4mm (99)

=====

B:
## TbSmGaHg (GGA-PBE)

Data for TbSmGaHg after structural relaxation.

Geometry as POSCAR:
```
TbSmGaHg
1.0
-4.014 -1.489 -3.029
-4.384 -1.870 2.188
-4.403 2.847 -0.104
Hg Tb Sm Ga
1 1 1 1
direct
0.750 0.750 0.750
0.500 0.500 0.500
0.000 0.000 0.000
0.250 0.250 0.250
```

Computed properties:
* SG: F-43m (216)

=====

Which structure loses on stability? B does.